A relaxed SnHgPb2 crystal, computed with PBE-GGA.

Summary:
SG ... F-43m (216)
Calculated total energy ... -2.87 eV/atom

Unit cell a=5.444 b=5.444 c=5.444 alpha=60.00 beta=60.00 gamma=60.00
Fractional coordinates of all 4 atoms:
Pb (0.750, 0.750, 0.750)
Hg (0.250, 0.250, 0.250)
Pb (0.000, 0.000, 0.000)
Sn (0.500, 0.500, 0.500)

A relaxed SnHgPb crystal, computed with PBE-GGA.

Summary:
SG ... F-43m (216)
Calculated total energy ... -2.59 eV/atom
Offset from the most stable computed form ... 0.00 eV per formula unit

Unit cell a=5.148 b=5.148 c=5.148 alpha=60.00 beta=60.00 gamma=60.00
Fractional coordinates of all 3 atoms:
Sn (0.000, 0.000, 0.000)
Hg (0.250, 0.250, 0.250)
Pb (0.750, 0.750, 0.750)

A relaxed Sr2SnHg2Pb crystal, computed with PBE-GGA.

Summary:
SG ... P3m1 (156)
Calculated total energy ... -2.46 eV/atom

Unit cell a=5.056 b=5.056 c=8.205 alpha=90.00 beta=90.00 gamma=120.00
Fractional coordinates of all 6 atoms:
Pb (0.000, 0.000, 0.457)
Sr (0.667, 0.333, 0.746)
Sn (0.333, 0.667, 0.958)
Hg (0.000, 0.000, 0.045)
Hg (0.333, 0.667, 0.552)
Sr (0.667, 0.333, 0.242)

Among the records above, which one has the highest calculated total energy?
Sr2SnHg2Pb